Crystalline CsIn2Pt at its relaxed geometry. Source: Alexandria, functional PBE.

Output
* total energy: -3.38 eV per atom
* volume: 135.1 Å³/f.u.
* energy of formation from the pure elements: -292 meV per atom
* symmetry: R-3m, No. 166

```
CsIn2Pt
1.0
2.3196 1.3392 7.2492
-2.3196 1.3392 7.2492
0.0000 -2.6784 7.2492
Cs In Pt
1 2 1
Cartesian
0.0000 0.0000 0.0000
0.0000 0.0000 4.3795
0.0000 0.0000 17.3682
0.0000 0.0000 10.8739
```